Computed, not measured: a geometry-optimized Ca3AsI3 structure at the PBEsol level of DFT.

CIF file:
```
data_Ca3AsI3
_symmetry_space_group_name_H-M 'P 1'
_symmetry_Int_Tables_number 1
_symmetry_space_group_name_Hall 'P 1'
_cell_length_a 10.643
_cell_length_b 10.643
_cell_length_c 10.643
_cell_angle_alpha 109.47
_cell_angle_beta 109.47
_cell_angle_gamma 109.47
loop_
_atom_site_label
_atom_site_type_symbol
_atom_site_fract_x
_atom_site_fract_y
_atom_site_fract_z
_atom_site_occupancy
Ca1 Ca 0.014 0.029 0.264 1
Ca2 Ca 0.014 0.486 0.750 1
Ca3 Ca 0.029 0.264 0.014 1
Ca4 Ca 0.236 0.264 0.750 1
Ca5 Ca 0.236 0.471 0.486 1
Ca6 Ca 0.264 0.014 0.029 1
Ca7 Ca 0.264 0.750 0.236 1
Ca8 Ca 0.471 0.486 0.236 1
Ca9 Ca 0.486 0.236 0.471 1
Ca10 Ca 0.486 0.750 0.014 1
Ca11 Ca 0.750 0.014 0.486 1
Ca12 Ca 0.750 0.236 0.264 1
As1 As 0.000 0.250 0.500 1
As2 As 0.250 0.250 0.250 1
As3 As 0.250 0.500 0.000 1
As4 As 0.500 0.000 0.250 1
I1 I 0.250 0.755 0.745 1
I2 I 0.250 0.995 0.505 1
I3 I 0.505 0.250 0.995 1
I4 I 0.505 0.755 0.509 1
I5 I 0.509 0.505 0.755 1
I6 I 0.745 0.250 0.755 1
I7 I 0.745 0.995 0.991 1
I8 I 0.755 0.509 0.505 1
I9 I 0.755 0.745 0.250 1
I10 I 0.991 0.745 0.995 1
I11 I 0.995 0.505 0.250 1
I12 I 0.995 0.991 0.745 1
```

Results
* raw total energy: -3.927 eV/atom
* M_tot: 0.0 μB/f.u.